Compound: LiTiS2
Source: Alexandria via LeMat-Bulk
Functional: PBE-GGA
Structure: optimized geometry

Summary:
The formation energy from raw total energies comes out at -1.381 eV/atom. The calculation puts the spin magnetization at 0.01 μB per cell. Its symmetry is R3m.

Unit cell a=3.4399 b=3.4399 c=6.6931 alpha=75.11 beta=75.11 gamma=60.00
Sites, in units of the cell vectors:
Li 0.4995 0.4995 0.5015
Ti 0.6668 0.6668 0.9997
S 0.0769 0.0769 0.7692
S 0.2568 0.2568 0.2296